NaSm2CrO6 | PBE+U | relaxed

* spin magnetization: 0.94 μB/f.u.
* raw total energy: -7.237 eV per atom
* calculated density: 6.31 g/cm³

Geometry as extended XYZ:
```
20
Lattice="5.448 0.000 0.000 0.000 5.885 0.000 -5.257 0.000 7.746" Properties=species:S:1:pos:R:3 pbc="T T T"
Na 0.000 0.000 0.000
Na -2.628 2.943 3.873
Sm -2.720 0.436 5.777
Sm -0.091 2.507 1.904
Sm 0.283 3.378 5.842
Sm 2.911 5.449 1.969
Cr 0.096 0.000 3.873
Cr 2.724 2.943 0.000
O -1.467 1.006 3.465
O -4.095 1.936 7.338
O -0.805 4.251 3.310
O -3.433 4.576 7.183
O 0.702 0.285 2.150
O -1.926 2.657 6.023
O 2.117 3.228 1.723
O -0.511 5.600 5.596
O 3.625 1.309 0.563
O 0.997 1.634 4.436
O 4.287 3.949 0.408
O 1.659 4.879 4.281
```